1.
DFT (PBE-GGA) results for a relaxed structure of LaPmNiAu.

Summary:
The space group is No. 38.

Cell lengths 3.9575, 4.6904, 5.7285 Å; angles 90.00, 110.21, 90.00 degrees
Fractional positions:
Pm1 0.8632 0.5000 0.7265
Ni1 0.4191 0.0000 0.8382
La1 0.1411 0.0000 0.2822
Au1 0.5766 0.5000 0.1531

***

2.
DFT (PBE-GGA) results for a relaxed structure of NaVS3.

Summary:
The space group is No. 11.

Cell lengths 5.7817, 6.7015, 12.8077 Å; angles 111.22, 90.00, 90.00 degrees
Fractional positions:
V1 0.7500 0.9125 0.5103
V2 0.2500 0.0875 0.9897
V3 0.2500 0.0875 0.4897
V4 0.7500 0.9125 0.0103
S1 0.4965 0.8436 0.3647
S2 0.2500 0.3580 0.4430
S3 0.2500 0.3580 0.9430
S4 0.4975 0.8444 0.8645
S5 0.0035 0.8436 0.8647
S6 0.5025 0.1556 0.1355
S7 0.7500 0.6420 0.0570
S8 0.5035 0.1564 0.6353
S9 0.7500 0.6420 0.5570
S10 0.9965 0.1564 0.1353
S11 0.0025 0.8444 0.3645
S12 0.9975 0.1556 0.6355
Na1 0.7500 0.2678 0.8536
Na2 0.7500 0.2678 0.3536
Na3 0.2500 0.7322 0.6464
Na4 0.2500 0.7322 0.1464

***

3.
DFT (PBE-GGA) results for a relaxed structure of CoTeAs2.

Summary:
The space group is No. 12.

Cell lengths 3.7709, 3.7709, 8.3918 Å; angles 104.76, 104.76, 48.69 degrees
Each line ends with the local moment (μB).
Fractional positions:
Te1 0.2500 0.2500 0.2500  0.00
As1 0.3972 0.3972 0.6038  0.00
As2 0.1028 0.1028 0.8962  0.00
Co1 0.7500 0.7500 0.7500  0.15

***

What did we get for total moment? Answer: 0.0, 0.0, 0.2 μB per cell, in the order shown.
What did we get for E_tot? Answer: -5.228, -5.388, -4.884 eV per atom, in the order shown.
What did we get for DOS(E_F)? Answer: 3.4, 0.9, 3.8 states/eV/f.u., in the order shown.